Y8Zn2Co: optimized geometry, PBE-GGA.

Cell: 6.089 8.725 8.725 Å, 129.31 103.43 103.43°
Atoms (fractional coordinates):
Y 0.644 0.387 0.158
Y 0.644 0.158 0.387
Y 0.137 0.273 0.273
Y 0.984 0.197 0.803
Y 0.984 0.803 0.197
Y 0.781 0.730 0.730
Y 0.298 0.848 0.623
Y 0.298 0.623 0.848
Zn 0.475 0.725 0.284
Zn 0.475 0.284 0.725
Co 0.279 0.007 0.007

Volume   27.4 Å³ per atom
Uncorrected energy   -5.68 eV per atom
Space-group type   Cm (8)
Mass density   4966 kg/m³

=====

NaMgSO4F: optimized geometry, PBE-GGA.

Cell: 5.500 5.500 7.167 Å, 75.34 75.34 104.06°
Atoms (fractional coordinates):
Na 0.330 0.670 0.250
Na 0.670 0.330 0.750
Mg 0.000 0.000 0.000
Mg 0.000 0.000 0.500
S 0.676 0.324 0.250
S 0.324 0.676 0.750
O 0.681 0.131 0.136
O 0.869 0.319 0.364
O 0.319 0.869 0.864
O 0.131 0.681 0.636
O 0.744 0.596 0.103
O 0.404 0.256 0.397
O 0.256 0.404 0.897
O 0.596 0.744 0.603
F 0.078 0.922 0.250
F 0.922 0.078 0.750

Volume   12.0 Å³ per atom
Uncorrected energy   -5.79 eV per atom
Space-group type   C2/c (15)
Mass density   2813 kg/m³

=====

- What is the volume in the first record?
  27.4 Å³ per atom

=====

- The highest volume belongs to which entry?
  Y8Zn2Co

=====

- Among the records above, which one has the highest volume?
  Y8Zn2Co